w) The following is a PBE calculation of an optimized crystal structure of Tm2IrPd, from Alexandria.

Lattice parameters (Å, degrees): 4.830 4.830 4.830 60.00 60.00 60.00
Sites, in units of the cell vectors:
Tm1 0.250 0.250 0.250
Tm2 0.750 0.750 0.750
Ir1 0.000 0.000 0.000
Pd1 0.500 0.500 0.500

Total magnetic moment, μB/f.u.: 0.00
Space-group type: No. 225
Crystal system: cubic

=====

x) The following is a PBE calculation of an optimized crystal structure of Tm2IrPd, from Alexandria.

Lattice parameters (Å, degrees): 3.422 3.422 6.849 90.00 90.00 90.00
Sites, in units of the cell vectors:
Tm1 0.000 0.000 0.239
Tm2 0.000 0.000 0.761
Ir1 0.500 0.500 0.000
Pd1 0.500 0.500 0.500

Total magnetic moment, μB/f.u.: 0.00
Space-group type: No. 123
Crystal system: tetragonal

=====

Which of them is most stable? Easy: w).

=====

w) The following is a PBE calculation of an optimized crystal structure of Tm8IrPd2, from Alexandria.

Lattice parameters (Å, degrees): 7.638 7.638 5.867 101.06 101.06 115.14
Sites, in units of the cell vectors:
Tm1 0.000 0.000 0.000
Tm2 0.020 0.270 0.587
Tm3 0.153 0.565 0.179
Tm4 0.270 0.020 0.587
Tm5 0.444 0.694 0.792
Tm6 0.565 0.153 0.179
Tm7 0.694 0.444 0.792
Tm8 0.714 0.714 0.357
Ir1 0.357 0.357 0.010
Pd1 0.047 0.659 0.676
Pd2 0.659 0.047 0.676

Total magnetic moment, μB/f.u.: 0.00
Space-group type: No. 8
Crystal system: monoclinic

=====

x) The following is a PBE calculation of an optimized crystal structure of Tm8IrPd2, from Alexandria.

Lattice parameters (Å, degrees): 8.920 8.920 6.657 105.72 105.72 32.58
Sites, in units of the cell vectors:
Tm1 0.032 0.032 0.293
Tm2 0.203 0.203 0.817
Tm3 0.335 0.335 0.528
Tm4 0.410 0.410 0.061
Tm5 0.590 0.590 0.939
Tm6 0.665 0.665 0.472
Tm7 0.797 0.797 0.183
Tm8 0.968 0.968 0.707
Ir1 0.500 0.500 0.500
Pd1 0.187 0.187 0.218
Pd2 0.813 0.813 0.782

Total magnetic moment, μB/f.u.: 0.00
Space-group type: No. 12
Crystal system: monoclinic

=====

Which of them is most stable? Easy: x).